DFT (PBE) results for YCuAs2 after structural relaxation.

```
data_YCuAs2
_cell_length_a 6.798
_cell_length_b 6.798
_cell_length_c 6.798
_cell_angle_alpha 90.00
_cell_angle_beta 90.00
_cell_angle_gamma 90.00
_symmetry_space_group_name_H-M 'F m -3 m'
_symmetry_Int_Tables_number 225
_symmetry_space_group_name_Hall '-F 4 2 3'
loop_
_atom_site_label
_atom_site_fract_x
_atom_site_fract_y
_atom_site_fract_z
Y1 0.000 0.000 0.000
Cu1 0.000 0.000 0.500
As1 0.250 0.250 0.250
```

Properties
DFT total energy = -5.29 eV per atom
Total magnetization = 0.0000 μB per atom
Theoretical density = 6.39 g/cm3